[1]
# PBE ZrTeMoSe2, optimized geometry
data_ZrTeMoSe2
_symmetry_space_group_name_H-M 'P 1'
_symmetry_Int_Tables_number 1
_cell_length_a 4.725
_cell_length_b 5.703
_cell_length_c 4.725
_cell_angle_alpha 90.00
_cell_angle_beta 90.00
_cell_angle_gamma 90.00
loop_
_symmetry_equiv_pos_as_xyz
'x,y,z'
loop_
_atom_site_label
_atom_site_fract_x
_atom_site_fract_y
_atom_site_fract_z
Se1 0.000 0.000 0.500
Se2 0.500 0.000 0.000
Mo1 0.000 0.000 0.000
Zr1 0.000 0.500 0.000
Te1 0.500 0.500 0.500
# ΔE_f (raw)   0.11 eV per atom

=====

[2]
# PBE Ca2In3Ga, optimized geometry
data_Ca2In3Ga
_symmetry_space_group_name_H-M 'P 1'
_symmetry_Int_Tables_number 1
_cell_length_a 3.725
_cell_length_b 4.903
_cell_length_c 8.579
_cell_angle_alpha 90.00
_cell_angle_beta 90.00
_cell_angle_gamma 90.00
loop_
_symmetry_equiv_pos_as_xyz
'x,y,z'
loop_
_atom_site_label
_atom_site_fract_x
_atom_site_fract_y
_atom_site_fract_z
Ga1 0.500 0.500 0.333
In1 0.500 0.000 0.175
In2 0.500 0.500 0.656
In3 0.500 0.000 0.834
Ca1 0.000 0.000 0.493
Ca2 0.000 0.500 0.008
# Relative energy among the computed polymorphs   0 meV/atom
# Formation enthalpy at 0 K   -0.39 eV per atom

=====

[3]
# PBE GdThCdGa, optimized geometry
data_GdThCdGa
_symmetry_space_group_name_H-M 'P 1'
_symmetry_Int_Tables_number 1
_cell_length_a 5.286
_cell_length_b 5.286
_cell_length_c 5.286
_cell_angle_alpha 60.00
_cell_angle_beta 60.00
_cell_angle_gamma 60.00
loop_
_symmetry_equiv_pos_as_xyz
'x,y,z'
loop_
_atom_site_label
_atom_site_fract_x
_atom_site_fract_y
_atom_site_fract_z
Th1 0.500 0.500 0.500
Cd1 0.750 0.750 0.750
Ga1 0.250 0.250 0.250
Gd1 0.000 0.000 0.000
# Formation enthalpy at 0 K   -0.32 eV per atom

=====

[4]
# PBE Sr2Ti2Os, optimized geometry
data_Sr2Ti2Os
_symmetry_space_group_name_H-M 'P 1'
_symmetry_Int_Tables_number 1
_cell_length_a 3.538
_cell_length_b 3.538
_cell_length_c 10.793
_cell_angle_alpha 80.57
_cell_angle_beta 80.57
_cell_angle_gamma 90.00
loop_
_symmetry_equiv_pos_as_xyz
'x,y,z'
loop_
_atom_site_label
_atom_site_fract_x
_atom_site_fract_y
_atom_site_fract_z
Os1 0.000 0.000 0.000
Sr1 0.410 0.410 0.180
Sr2 0.590 0.590 0.820
Ti1 0.750 0.250 0.500
Ti2 0.250 0.750 0.500
# Relative energy among the computed polymorphs   0 meV/atom
# Formation enthalpy at 0 K   0.85 eV per atom

=====

[5]
# PBE Sr2ScSb, optimized geometry
data_Sr2ScSb
_symmetry_space_group_name_H-M 'P 1'
_symmetry_Int_Tables_number 1
_cell_length_a 9.673
_cell_length_b 9.673
_cell_length_c 7.563
_cell_angle_alpha 50.24
_cell_angle_beta 50.24
_cell_angle_gamma 90.00
loop_
_symmetry_equiv_pos_as_xyz
'x,y,z'
loop_
_atom_site_label
_atom_site_fract_x
_atom_site_fract_y
_atom_site_fract_z
Sb1 0.000 0.000 0.000
Sb2 0.750 0.250 0.500
Sr1 0.875 0.928 0.750
Sr2 0.678 0.125 0.250
Sr3 0.375 0.322 0.750
Sr4 0.072 0.625 0.250
Sc1 0.500 0.500 0.000
Sc2 0.250 0.750 0.500
# ΔE_f (raw)   -0.02 eV per atom

=====

[6]
# PBE Tl2H6PtRh, optimized geometry
data_Tl2H6PtRh
_symmetry_space_group_name_H-M 'P 1'
_symmetry_Int_Tables_number 1
_cell_length_a 4.916
_cell_length_b 4.916
_cell_length_c 6.050
_cell_angle_alpha 114.14
_cell_angle_beta 114.15
_cell_angle_gamma 89.89
loop_
_symmetry_equiv_pos_as_xyz
'x,y,z'
loop_
_atom_site_label
_atom_site_fract_x
_atom_site_fract_y
_atom_site_fract_z
H1 0.674 0.674 0.344
H2 0.149 0.149 0.297
H3 0.273 0.777 0.049
H4 0.273 0.273 0.048
H5 0.776 0.273 0.049
H6 0.776 0.776 0.048
Tl1 0.292 0.792 0.586
Tl2 0.792 0.293 0.586
Rh1 0.988 0.988 0.976
Pt1 0.508 0.508 0.015
# Uncorrected energy   -3.744 eV per atom

=====

[7]
# PBE ReTeBr2, optimized geometry
data_ReTeBr2
_symmetry_space_group_name_H-M 'P 1'
_symmetry_Int_Tables_number 1
_cell_length_a 5.206
_cell_length_b 5.206
_cell_length_c 3.162
_cell_angle_alpha 90.00
_cell_angle_beta 90.00
_cell_angle_gamma 90.00
loop_
_symmetry_equiv_pos_as_xyz
'x,y,z'
loop_
_atom_site_label
_atom_site_fract_x
_atom_site_fract_y
_atom_site_fract_z
Br1 0.500 0.500 0.000
Br2 0.000 0.000 0.000
Te1 0.000 0.500 0.500
Re1 0.500 0.000 0.500
# ΔE_f (raw)   1.49 eV per atom
# Relative energy among the computed polymorphs   1337 meV/atom

=====

[8]
# PBE LaTlPdAu, optimized geometry
data_LaTlPdAu
_symmetry_space_group_name_H-M 'P 1'
_symmetry_Int_Tables_number 1
_cell_length_a 5.085
_cell_length_b 5.085
_cell_length_c 5.085
_cell_angle_alpha 60.00
_cell_angle_beta 60.00
_cell_angle_gamma 60.00
loop_
_symmetry_equiv_pos_as_xyz
'x,y,z'
loop_
_atom_site_label
_atom_site_fract_x
_atom_site_fract_y
_atom_site_fract_z
Pd1 0.500 0.500 0.500
La1 0.750 0.750 0.750
Tl1 0.250 0.250 0.250
Au1 0.000 0.000 0.000
# Formation enthalpy at 0 K   -0.57 eV per atom

=====

[9]
# PBE CaFeAs2Se, optimized geometry
data_CaFeAs2Se
_symmetry_space_group_name_H-M 'P 1'
_symmetry_Int_Tables_number 1
_cell_length_a 5.336
_cell_length_b 5.336
_cell_length_c 5.257
_cell_angle_alpha 90.00
_cell_angle_beta 90.00
_cell_angle_gamma 90.00
loop_
_symmetry_equiv_pos_as_xyz
'x,y,z'
loop_
_atom_site_label
_atom_site_fract_x
_atom_site_fract_y
_atom_site_fract_z
As1 0.000 0.500 0.000
As2 0.500 0.000 0.000
Fe1 0.500 0.500 0.500
Ca1 0.000 0.000 0.000
Se1 0.000 0.000 0.500
# ΔE_f (raw)   1.03 eV per atom
# Relative energy among the computed polymorphs   1366 meV/atom

=====

[10]
# PBE Sm4GeTe2I, optimized geometry
data_Sm4GeTe2I
_symmetry_space_group_name_H-M 'P 1'
_symmetry_Int_Tables_number 1
_cell_length_a 4.369
_cell_length_b 7.600
_cell_length_c 7.790
_cell_angle_alpha 71.20
_cell_angle_beta 90.00
_cell_angle_gamma 90.00
loop_
_symmetry_equiv_pos_as_xyz
'x,y,z'
loop_
_atom_site_label
_atom_site_fract_x
_atom_site_fract_y
_atom_site_fract_z
Sm1 0.500 0.274 0.717
Sm2 0.000 0.746 0.718
Sm3 0.500 0.726 0.283
Sm4 0.000 0.254 0.282
Ge1 0.000 0.500 0.500
Te1 0.500 0.000 0.500
Te2 0.000 0.000 0.000
I1 0.500 0.500 0.000
# ΔE_f (raw)   -1.18 eV per atom

=====

[11]
# PBE Pm2Dy5ErTh, optimized geometry
data_Pm2Dy5ErTh
_symmetry_space_group_name_H-M 'P 1'
_symmetry_Int_Tables_number 1
_cell_length_a 5.709
_cell_length_b 11.133
_cell_length_c 9.779
_cell_angle_alpha 90.00
_cell_angle_beta 90.00
_cell_angle_gamma 104.86
loop_
_symmetry_equiv_pos_as_xyz
'x,y,z'
loop_
_atom_site_label
_atom_site_fract_x
_atom_site_fract_y
_atom_site_fract_z
Dy1 0.470 0.941 0.742
Dy2 0.985 0.970 0.516
Dy3 0.604 0.207 0.541
Dy4 0.695 0.389 0.217
Dy5 0.530 0.059 0.242
Dy6 0.730 0.460 0.828
Dy7 0.270 0.540 0.328
Dy8 0.305 0.611 0.717
Dy9 0.015 0.030 0.016
Dy10 0.396 0.793 0.041
Pm1 0.130 0.260 0.711
Pm2 0.886 0.771 0.826
Pm3 0.114 0.229 0.326
Pm4 0.870 0.740 0.211
Er1 0.191 0.382 0.017
Er2 0.809 0.618 0.517
Th1 0.404 0.808 0.426
Th2 0.596 0.192 0.926
# Formation enthalpy at 0 K   0.16 eV per atom

=====

[12]
# PBE MgSi2Os, optimized geometry
data_MgSi2Os
_symmetry_space_group_name_H-M 'P 1'
_symmetry_Int_Tables_number 1
_cell_length_a 8.305
_cell_length_b 3.201
_cell_length_c 9.708
_cell_angle_alpha 90.00
_cell_angle_beta 107.58
_cell_angle_gamma 90.00
loop_
_symmetry_equiv_pos_as_xyz
'x,y,z'
loop_
_atom_site_label
_atom_site_fract_x
_atom_site_fract_y
_atom_site_fract_z
Os1 0.067 0.500 0.696
Os2 0.067 0.000 0.196
Os3 0.553 0.500 0.280
Os4 0.553 0.000 0.780
Si1 0.812 0.000 0.988
Si2 0.270 0.500 0.334
Si3 0.339 0.500 0.638
Si4 0.339 0.000 0.138
Si5 0.777 0.500 0.749
Si6 0.812 0.500 0.488
Si7 0.270 0.000 0.834
Si8 0.777 0.000 0.249
Mg1 0.541 0.000 0.506
Mg2 0.541 0.500 0.006
Mg3 0.076 0.000 0.471
Mg4 0.076 0.500 0.971
# ΔE_f (raw)   -0.20 eV per atom

=====

[13]
# PBE Ca4BiSbS, optimized geometry
data_Ca4BiSbS
_symmetry_space_group_name_H-M 'P 1'
_symmetry_Int_Tables_number 1
_cell_length_a 7.332
_cell_length_b 7.335
_cell_length_c 9.059
_cell_angle_alpha 90.00
_cell_angle_beta 113.87
_cell_angle_gamma 90.00
loop_
_symmetry_equiv_pos_as_xyz
'x,y,z'
loop_
_atom_site_label
_atom_site_fract_x
_atom_site_fract_y
_atom_site_fract_z
Ca1 0.500 0.500 0.500
Ca2 0.578 0.250 0.155
Ca3 0.422 0.750 0.845
Ca4 0.500 0.000 0.500
Ca5 0.073 0.750 0.147
Ca6 0.927 0.250 0.853
Ca7 0.000 0.500 0.500
Ca8 0.000 0.000 0.500
Sb1 0.884 0.750 0.768
Sb2 0.116 0.250 0.232
Bi1 0.613 0.750 0.226
Bi2 0.387 0.250 0.774
S1 0.752 0.250 0.504
S2 0.248 0.750 0.496
# ΔE_f (raw)   -1.21 eV per atom

=====

[14]
# PBE Al3GeN4, optimized geometry
data_Al3GeN4
_symmetry_space_group_name_H-M 'P 1'
_symmetry_Int_Tables_number 1
_cell_length_a 5.210
_cell_length_b 5.505
_cell_length_c 6.382
_cell_angle_alpha 90.00
_cell_angle_beta 90.00
_cell_angle_gamma 90.00
loop_
_symmetry_equiv_pos_as_xyz
'x,y,z'
loop_
_atom_site_label
_atom_site_fract_x
_atom_site_fract_y
_atom_site_fract_z
N1 0.092 0.840 0.500
N2 0.634 0.185 0.500
N3 0.636 0.657 0.233
N4 0.134 0.815 0.000
N5 0.592 0.160 0.000
N6 0.636 0.657 0.767
N7 0.136 0.343 0.733
N8 0.136 0.343 0.267
Al1 0.503 0.335 0.750
Al2 0.503 0.335 0.250
Al3 0.502 0.827 0.000
Al4 0.002 0.173 0.500
Al5 0.003 0.665 0.250
Al6 0.003 0.665 0.750
Ge1 0.009 0.171 0.000
Ge2 0.509 0.829 0.500
# ΔE_f (raw)   -0.84 eV per atom

=====

[15]
# PBE P2Os2Au, optimized geometry
data_P2Os2Au
_symmetry_space_group_name_H-M 'P 1'
_symmetry_Int_Tables_number 1
_cell_length_a 3.682
_cell_length_b 3.682
_cell_length_c 6.231
_cell_angle_alpha 72.82
_cell_angle_beta 72.82
_cell_angle_gamma 90.00
loop_
_symmetry_equiv_pos_as_xyz
'x,y,z'
loop_
_atom_site_label
_atom_site_fract_x
_atom_site_fract_y
_atom_site_fract_z
Os1 0.624 0.624 0.751
Os2 0.376 0.376 0.249
P1 0.250 0.750 0.500
P2 0.750 0.250 0.500
Au1 0.000 0.000 0.000
# Formation enthalpy at 0 K   -0.05 eV per atom

=====

[16]
# PBE BaGeAs2S8, optimized geometry
data_BaGeAs2S8
_symmetry_space_group_name_H-M 'P 1'
_symmetry_Int_Tables_number 1
_cell_length_a 6.125
_cell_length_b 6.125
_cell_length_c 9.015
_cell_angle_alpha 90.00
_cell_angle_beta 90.00
_cell_angle_gamma 120.00
loop_
_symmetry_equiv_pos_as_xyz
'x,y,z'
loop_
_atom_site_label
_atom_site_fract_x
_atom_site_fract_y
_atom_site_fract_z
S1 0.333 0.667 0.968
S2 0.312 0.011 0.673
S3 0.011 0.700 0.327
S4 0.989 0.300 0.673
S5 0.300 0.312 0.327
S6 0.688 0.989 0.327
S7 0.667 0.333 0.032
S8 0.700 0.688 0.673
Ge1 0.000 0.000 0.500
As1 0.667 0.333 0.269
As2 0.333 0.667 0.731
Ba1 0.000 0.000 0.000
# ΔE_f (raw)   -0.35 eV per atom

=====

[17]
# PBE CsBaGaAs2, optimized geometry
data_CsBaGaAs2
_symmetry_space_group_name_H-M 'P 1'
_symmetry_Int_Tables_number 1
_cell_length_a 5.735
_cell_length_b 9.501
_cell_length_c 9.741
_cell_angle_alpha 119.19
_cell_angle_beta 90.00
_cell_angle_gamma 90.00
loop_
_symmetry_equiv_pos_as_xyz
'x,y,z'
loop_
_atom_site_label
_atom_site_fract_x
_atom_site_fract_y
_atom_site_fract_z
Cs1 0.251 0.750 0.500
Cs2 0.749 0.250 0.500
Ba1 0.500 0.250 0.000
Ba2 0.500 0.750 0.000
As1 0.236 0.108 0.216
As2 0.764 0.892 0.784
As3 0.236 0.392 0.784
As4 0.764 0.608 0.216
Ga1 0.000 0.000 0.000
Ga2 0.000 0.500 0.000
# Relative energy among the computed polymorphs   0 meV/atom
# Formation enthalpy at 0 K   -0.55 eV per atom

=====

[18]
# PBE Ba3LiBi2O6, optimized geometry
data_Ba3LiBi2O6
_symmetry_space_group_name_H-M 'P 1'
_symmetry_Int_Tables_number 1
_cell_length_a 6.136
_cell_length_b 6.136
_cell_length_c 7.071
_cell_angle_alpha 90.00
_cell_angle_beta 90.00
_cell_angle_gamma 120.00
loop_
_symmetry_equiv_pos_as_xyz
'x,y,z'
loop_
_atom_site_label
_atom_site_fract_x
_atom_site_fract_y
_atom_site_fract_z
Bi1 0.333 0.667 0.135
Bi2 0.667 0.333 0.865
O1 0.170 0.830 0.306
O2 0.170 0.340 0.306
O3 0.830 0.170 0.694
O4 0.830 0.660 0.694
O5 0.340 0.170 0.694
O6 0.660 0.830 0.306
Ba1 0.667 0.333 0.384
Ba2 0.333 0.667 0.616
Ba3 0.000 0.000 0.000
Li1 0.000 0.000 0.500
# ΔE_f (raw)   -1.83 eV per atom

=====

[19]
# PBE Sc2CrRe, optimized geometry
data_Sc2CrRe
_symmetry_space_group_name_H-M 'P 1'
_symmetry_Int_Tables_number 1
_cell_length_a 9.306
_cell_length_b 9.306
_cell_length_c 9.306
_cell_angle_alpha 18.73
_cell_angle_beta 18.73
_cell_angle_gamma 18.73
loop_
_symmetry_equiv_pos_as_xyz
'x,y,z'
loop_
_atom_site_label
_atom_site_fract_x
_atom_site_fract_y
_atom_site_fract_z
Sc1 0.763 0.763 0.763
Sc2 0.988 0.988 0.988
Cr1 0.509 0.509 0.509
Re1 0.240 0.240 0.240
# Relative energy among the computed polymorphs   312 meV/atom
# Formation enthalpy at 0 K   0.29 eV per atom

=====

[20]
# PBE Sr2AlSi, optimized geometry
data_Sr2AlSi
_symmetry_space_group_name_H-M 'P 1'
_symmetry_Int_Tables_number 1
_cell_length_a 3.640
_cell_length_b 3.640
_cell_length_c 9.113
_cell_angle_alpha 90.00
_cell_angle_beta 90.00
_cell_angle_gamma 90.25
loop_
_symmetry_equiv_pos_as_xyz
'x,y,z'
loop_
_atom_site_label
_atom_site_fract_x
_atom_site_fract_y
_atom_site_fract_z
Sr1 0.000 0.000 0.924
Sr2 0.500 0.500 0.320
Al1 0.000 0.000 0.572
Si1 0.500 0.500 0.684
# ΔE_f (raw)   -0.05 eV per atom

=====

[21]
# PBE Hf2FeSi, optimized geometry
data_Hf2FeSi
_symmetry_space_group_name_H-M 'P 1'
_symmetry_Int_Tables_number 1
_cell_length_a 3.812
_cell_length_b 3.555
_cell_length_c 9.901
_cell_angle_alpha 90.00
_cell_angle_beta 90.00
_cell_angle_gamma 90.00
loop_
_symmetry_equiv_pos_as_xyz
'x,y,z'
loop_
_atom_site_label
_atom_site_fract_x
_atom_site_fract_y
_atom_site_fract_z
Si1 0.000 0.500 0.255
Si2 0.000 0.000 0.755
Fe1 0.500 0.500 0.100
Fe2 0.500 0.000 0.600
Hf1 0.500 0.000 0.329
Hf2 0.000 0.500 0.540
Hf3 0.000 0.000 0.040
Hf4 0.500 0.500 0.829
# ΔE_f (raw)   -0.57 eV per atom